Record 1
Tb2GaCo2: optimized geometry, PBE.

Properties
Formation enthalpy at 0 K: -2.013 eV per formula unit
Total magnetic moment: 1.02 μB per cell
N(E_F): 7.8 states/eV per cell
Crystal system: monoclinic

Lattice parameters (Å, degrees): 5.3764 5.3995 7.5902 102.36 90.00 119.86
Last column: nearest neighbours and their distance in Å.
Fractional positions:
Ga  0.8682  0.0000  0.2500  4 Co 2.54-2.56
Ga  0.1318  0.0000  0.7500  4 Co 2.54-2.56
Co  0.2913  0.2873  0.5061  1 Co 2.30, 2 Ga 2.54-2.56
Co  0.9961  0.2873  0.0061  1 Co 2.30, 2 Ga 2.54-2.56
Co  0.7087  0.7127  0.4939  1 Co 2.30, 2 Ga 2.54-2.56
Co  0.0039  0.7127  0.9939  1 Co 2.30, 2 Ga 2.54-2.56
Tb  0.7961  0.2911  0.6455  6 Co 2.87-2.99, 2 Ga 3.12-3.20
Tb  0.5050  0.7089  0.8545  6 Co 2.87-2.99, 2 Ga 3.12-3.20
Tb  0.4950  0.2911  0.1455  6 Co 2.87-2.99, 2 Ga 3.12-3.20
Tb  0.2039  0.7089  0.3545  6 Co 2.87-2.99, 2 Ga 3.12-3.20



Record 2
Tb3Er4Bi4: optimized geometry, PBE.

Properties
Formation enthalpy at 0 K: -5.726 eV per formula unit
Total magnetic moment: 1.35 μB per cell
N(E_F): 13.2 states/eV per cell
Crystal system: orthorhombic

Lattice parameters (Å, degrees): 4.1277 9.3239 10.0856 117.53 101.81 90.00
Last column: nearest neighbours and their distance in Å.
Fractional positions:
Bi  0.7409  0.2409  0.4818  6 Er 3.14-3.19, 2 Tb 3.16
Bi  0.5000  0.7956  0.0000  2 Er 3.08, 6 Tb 3.34-3.44
Bi  0.5000  0.2044  0.0000  2 Er 3.08, 6 Tb 3.34-3.44
Bi  0.2591  0.7591  0.5182  6 Er 3.14-3.19, 2 Tb 3.16
Tb  0.8963  0.8963  0.7925  6 Bi 3.16-3.34
Tb  0.0000  0.5000  0.0000  4 Bi 3.44
Tb  0.1037  0.1037  0.2075  6 Bi 3.16-3.34
Er  0.3326  0.5195  0.6652  4 Bi 3.08-3.19
Er  0.6674  0.8543  0.3348  4 Bi 3.08-3.19
Er  0.6674  0.4805  0.3348  4 Bi 3.08-3.19
Er  0.3326  0.1457  0.6652  4 Bi 3.08-3.19



Record 3
Hf2HgPbF: optimized geometry, PBE.

Properties
Total magnetic moment: 0.00 μB per cell
N(E_F): 3.5 states/eV per cell
Crystal system: tetragonal
ΔE_f (raw): 460 meV/atom

Lattice parameters (Å, degrees): 5.3565 4.5273 5.3565 90.00 90.00 90.00
Last column: nearest neighbours and their distance in Å.
Fractional positions:
Hf  0.0000  0.0000  0.5000  2 Hg 2.68
Hf  0.5000  0.0000  0.0000  2 Hg 2.68
F  0.0000  0.5000  0.0000  2 Hg 2.26
Hg  0.0000  0.0000  0.0000  2 F 2.26
Pb  0.5000  0.5000  0.5000  8 Hf 3.51, 4 F 3.79



Record 4
Zr2Ta2Pt: optimized geometry, PBE.

Properties
Formation enthalpy at 0 K: 6.104 eV per formula unit
Total magnetic moment: 0.00 μB per cell
N(E_F): 9.4 states/eV per cell
Crystal system: tetragonal

Lattice parameters (Å, degrees): 5.0395 5.0395 4.8079 90.00 90.00 90.00
Last column: nearest neighbours and their distance in Å.
Fractional positions:
Pt  0.5000  0.5000  0.5000  8 Zr 3.48, 4 Ta 3.56
Zr  0.0000  0.5000  0.0000  2 Ta 2.52
Zr  0.5000  0.0000  0.0000  2 Ta 2.52
Ta  0.0000  0.0000  0.5000  2 Ta 2.40
Ta  0.0000  0.0000  0.0000  2 Ta 2.40, 4 Zr 2.52



Record 5
TbNd5Y: optimized geometry, PBE.

Properties
Formation enthalpy at 0 K: 1.061 eV per formula unit
Distance to the lowest polymorph of the same formula: 0.0 kJ/mol of formula units
Total magnetic moment: 0.00 μB per cell
N(E_F): 20.3 states/eV per cell
Crystal system: monoclinic

Lattice parameters (Å, degrees): 8.9734 8.9734 13.4703 45.44 45.44 43.81
Last column: nearest neighbours and their distance in Å.
Fractional positions:
Nd  0.7609  0.2391  0.7500  2 Y 3.19-3.51, 6 Nd 3.36-3.52
Nd  0.6695  0.6656  0.9119  5 Nd 3.38-3.62, 1 Y 3.52
Nd  0.2391  0.7609  0.2500  2 Y 3.19-3.51, 6 Nd 3.36-3.52
Nd  0.2536  0.2530  0.9045  1 Tb 3.35, 6 Nd 3.36-3.62, 2 Y 3.37-3.50
Nd  0.7464  0.7470  0.0955  1 Tb 3.35, 6 Nd 3.36-3.62, 2 Y 3.37-3.50
Nd  0.2530  0.2536  0.4045  1 Tb 3.35, 6 Nd 3.36-3.62, 2 Y 3.37-3.50
Nd  0.3305  0.3344  0.0881  5 Nd 3.38-3.62, 1 Y 3.52
Nd  0.6656  0.6695  0.4119  5 Nd 3.38-3.62, 1 Y 3.52
Nd  0.7470  0.7464  0.5955  1 Tb 3.35, 6 Nd 3.36-3.62, 2 Y 3.37-3.50
Nd  0.3344  0.3305  0.5881  5 Nd 3.38-3.62, 1 Y 3.52
Tb  0.0000  0.0000  0.5000  4 Nd 3.35-3.73, 2 Y 3.72
Tb  0.0000  0.0000  0.0000  4 Nd 3.35-3.73, 2 Y 3.72
Y  0.7629  0.2371  0.2500  8 Nd 3.19-3.52
Y  0.2371  0.7629  0.7500  8 Nd 3.19-3.52



Record 6
ZrP2IrO: optimized geometry, PBE.

Properties
Distance to the lowest polymorph of the same formula: 0.0 kJ/mol of formula units
Total magnetic moment: 0.00 μB per cell
N(E_F): 3.7 states/eV per cell
Crystal system: tetragonal
ΔE_f (raw): -155 meV/atom

Lattice parameters (Å, degrees): 4.8113 4.8113 3.6916 90.00 90.00 90.00
Last column: nearest neighbours and their distance in Å.
Fractional positions:
P  0.0000  0.5000  0.0000  2 Ir 2.41
P  0.5000  0.0000  0.0000  2 Ir 2.41
Zr  0.5000  0.5000  0.5000  8 P 3.03
O  0.0000  0.0000  0.5000  2 Ir 1.85
Ir  0.0000  0.0000  0.0000  2 O 1.85